(1)
Computed, not measured: a relaxed Pr3NdIn crystal at the PBE level of DFT.

a = 4.968 Å, b = 4.967 Å, c = 13.363 Å
α = 90.00°, β = 79.29°, γ = 90.00°
Atoms (fractional coordinates):
Pr 0.771 0.250 0.107
Pr 0.379 0.250 0.890
Pr 0.574 0.250 0.501
Pr 0.269 0.750 0.110
Pr 0.878 0.750 0.893
Pr 0.075 0.750 0.499
Nd 0.476 0.750 0.695
Nd 0.172 0.250 0.305
In 0.671 0.750 0.307
In 0.977 0.250 0.693

Output
As for the space group: No. 63.

(2)
Computed, not measured: a relaxed PrNd6In5 crystal at the PBE level of DFT.

a = 5.115 Å, b = 9.111 Å, c = 9.322 Å
α = 119.25°, β = 105.92°, γ = 90.00°
Atoms (fractional coordinates):
Pr 0.000 0.000 0.000
Nd 0.829 0.566 0.658
Nd 0.829 0.092 0.658
Nd 0.500 0.729 0.000
Nd 0.500 0.271 0.000
Nd 0.171 0.908 0.342
Nd 0.171 0.434 0.342
In 0.655 0.155 0.309
In 0.325 0.325 0.650
In 0.000 0.500 0.000
In 0.675 0.675 0.350
In 0.345 0.845 0.691

Output
As for the space group: No. 71.

| no. | relative energy among the computed polymorphs (eV/atom) | DFT formation energy (meV per atom) | theoretical density (Mg/m³) |
| --- | --- | --- | --- |
| 1 | 0.0000 | -194 | 7.0 |
| 2 | 0.0000 | -393 | 7.3 |